1.
PBE-GGA LiLa2Pb, optimized geometry; D(E_F) = 4.6 states/eV/f.u.; E_form = -0.27 eV per atom; crystal system = monoclinic; total magnetization = 0.00 μB/f.u.; V = 123.6 Å³/cell
1.0
-2.410 0.528 3.792
0.874 -3.422 1.032
6.908 -0.843 4.508
La Li Pb
2 1 1
Direct
0.000 0.496 0.504
0.000 0.004 0.996
0.500 0.250 0.250
0.500 0.750 0.750

***

2.
PBE-GGA LiLa2Pb, optimized geometry; D(E_F) = 4.1 states/eV/f.u.; E_form = -0.32 eV per atom; crystal system = orthorhombic; total magnetization = 0.00 μB/f.u.; V = 118.6 Å³/cell
1.0
-4.008 4.704 1.392
-3.529 2.087 4.830
2.148 3.787 2.584
La Li Pb
2 1 1
Direct
0.759 0.759 0.741
0.986 0.986 0.014
0.537 0.537 0.463
0.217 0.217 0.283

***

3.
PBE-GGA LiLa2Pb, optimized geometry; D(E_F) = 4.1 states/eV/f.u.; E_form = -0.29 eV per atom; crystal system = orthorhombic; total magnetization = 0.51 μB/f.u.; V = 122.5 Å³/cell
1.0
5.002 0.000 0.000
0.000 3.794 0.018
0.000 1.863 6.464
Li La Pb
1 2 1
Direct
0.000 0.686 0.502
0.000 0.959 0.958
0.500 0.292 0.291
0.500 0.564 0.749

***

4.
PBE-GGA Li2LaPb, optimized geometry; D(E_F) = 3.1 states/eV/f.u.; E_form = -0.22 eV per atom; crystal system = monoclinic; total magnetization = 0.33 μB/f.u.; V = 104.3 Å³/cell
1.0
-0.563 -4.214 3.126
-1.021 -5.166 -0.350
5.507 -2.067 -0.160
Li La Pb
2 1 1
Direct
0.485 0.485 0.565
0.015 0.015 0.935
0.250 0.250 0.250
0.750 0.750 0.750

***

5.
PBE-GGA LiLa2Pb, optimized geometry; D(E_F) = 4.2 states/eV/f.u.; E_form = -0.35 eV per atom; crystal system = orthorhombic; total magnetization = 0.00 μB/f.u.; V = 120.3 Å³/cell
1.0
-1.970 4.389 -1.687
-0.297 -1.898 -4.722
-4.260 -1.567 0.898
Pb La Li
1 2 1
Direct
0.000 0.500 0.500
0.500 0.500 0.000
0.000 0.000 0.000
0.500 0.000 0.500

***

6.
PBE-GGA LiLaPb3, optimized geometry; D(E_F) = 3.8 states/eV/f.u.; E_form = -0.20 eV per atom; crystal system = cubic; total magnetization = 0.00 μB/f.u.; energy above the lowest structure with this stoichiometry = 0.000 eV/atom; V = 141.5 Å³/cell
1.0
-3.598 2.487 -2.831
-3.144 0.176 4.151
2.077 4.575 1.379
Li Pb La
1 3 1
Direct
0.000 0.000 0.000
0.000 0.000 0.500
0.500 0.000 0.000
0.000 0.500 0.000
0.500 0.500 0.500

***

7.
PBE-GGA LiLaPb3, optimized geometry; D(E_F) = 4.9 states/eV/f.u.; E_form = 0.46 eV per atom; crystal system = cubic; total magnetization = 0.00 μB/f.u.; energy above the lowest structure with this stoichiometry = 0.660 eV/atom; V = 233.4 Å³/cell
1.0
-0.499 1.330 5.991
-2.071 -5.694 1.092
5.776 -1.927 0.908
Li Pb La
1 3 1
Direct
0.500 0.500 0.500
0.000 0.500 0.000
0.000 0.000 0.500
0.500 0.000 0.000
0.000 0.000 0.000

***

8.
PBE-GGA Li2LaPb, optimized geometry; D(E_F) = 3.1 states/eV/f.u.; E_form = -0.22 eV per atom; crystal system = monoclinic; total magnetization = 0.16 μB/f.u.; V = 108.9 Å³/cell
1.0
4.823 0.000 0.000
0.000 3.494 0.059
0.000 1.612 6.490
Li Pb La
2 1 1
Direct
0.500 0.440 0.235
0.000 0.019 0.086
0.000 0.330 0.470
0.500 0.711 0.709

***

Please write out number 5 again, unchanged.
PBE-GGA LiLa2Pb, optimized geometry; D(E_F) = 4.2 states/eV/f.u.; E_form = -0.35 eV per atom; crystal system = orthorhombic; total magnetization = 0.00 μB/f.u.; V = 120.3 Å³/cell
1.0
-1.970 4.389 -1.687
-0.297 -1.898 -4.722
-4.260 -1.567 0.898
Pb La Li
1 2 1
Direct
0.000 0.500 0.500
0.500 0.500 0.000
0.000 0.000 0.000
0.500 0.000 0.500

***

Question: Among the records above, which one has the highest E_form?
Answer: number 7